{"formula": "MnCuN2F", "functional": "GGA+U", "state": "optimized geometry", "cell": [[-1.4995, 3.0352, 2.4543], [-3.0685, -0.1271, -1.7177], [-1.3930, -2.8721, 2.7009]], "species": ["N", "N", "Cu", "Mn", "F"], "fractional_positions": [[0.0000, 0.0000, 0.5000], [0.5000, 0.0000, 0.0000], [0.0000, 0.5000, 0.0000], [0.5000, 0.5000, 0.5000], [0.0000, 0.0000, 0.0000]], "final_energy_ev_per_atom": -3.836, "de_polymorph_ev_per_fu": 8.07, "n_ef_per_ev_atom": 0.570}